Computed, not measured: crystalline Tb2CeTm4 at its relaxed geometry at the PBE level of DFT.

The structure in POSCAR format:
```
Tb2CeTm4
1.0
3.599 0.000 0.000
0.000 22.317 0.000
0.000 0.000 5.568
Tb Ce Tm
4 2 8
Direct
0.000 0.070 0.000
0.000 0.930 0.000
0.500 0.430 0.000
0.500 0.570 0.000
0.000 0.500 0.500
0.500 0.000 0.500
0.000 0.172 0.500
0.000 0.307 0.000
0.000 0.693 0.000
0.000 0.828 0.500
0.500 0.193 0.000
0.500 0.328 0.500
0.500 0.672 0.500
0.500 0.807 0.000
```

Calculated values
- size of the total moment (Bohr magnetons per cell) = 2.009
- relative energy among the computed polymorphs (meV per atom) = 183.2
- formation enthalpy at 0 K (eV per atom) = 0.21
- total energy (eV per cell) = -63.17
- space group = Cmmm